# 1
# Zr2ScOs

A PBEsol-optimized structure of Zr2ScOs (meta-GGA SCAN, Alexandria).

Results
**Size of the total moment**: 0.0 μB per cell
**E_tot**: -37.2317 eV per atom

abc: 3.225 3.225 7.575
angles: 90.00 90.00 90.00
Element x y z (fractional)
Sc: 0.500 0.500 0.703
Os: 0.000 0.000 0.496
Zr: 0.000 0.000 0.013
Zr: 0.500 0.500 0.288

***

# 2
# GeHW3

A PBEsol-optimized structure of GeHW3 (meta-GGA SCAN, Alexandria).

Results
**Size of the total moment**: 0.0 μB per cell
**E_tot**: -45.7948 eV per atom

abc: 3.993 3.993 3.993
angles: 90.00 90.00 90.00
Element x y z (fractional)
H: 0.000 0.000 0.000
Ge: 0.500 0.500 0.500
W: 0.000 0.500 0.000
W: 0.000 0.000 0.500
W: 0.500 0.000 0.000

***

# 3
# TaNiPb2

A PBEsol-optimized structure of TaNiPb2 (meta-GGA SCAN, Alexandria).

Results
**Size of the total moment**: 0.0 μB per cell
**Energy above the most stable polymorph in this dataset**: 0 meV per atom
**E_tot**: -58.1294 eV per atom

abc: 3.080 4.938 6.051
angles: 114.08 104.74 90.00
Element x y z (fractional)
Ni: 0.229 0.729 0.458
Pb: 0.966 0.966 0.933
Pb: 0.758 0.258 0.517
Ta: 0.546 0.546 0.092